i.
! CsBaN2, relaxed, DFT GGA-PBE; values from VASP
&SYSTEM
  ibrav = 0, nat = 8, ntyp = 3
/
ATOMIC_SPECIES
Cs 132.91 Cs.upf
Ba 137.33 Ba.upf
N 14.01 N.upf
CELL_PARAMETERS angstrom
7.4048 0.0000 0.0000
0.0000 7.4048 0.0000
3.7024 3.7024 4.6592
ATOMIC_POSITIONS angstrom
Cs 3.7024 3.7024 0.0000
Cs 3.7024 7.4048 2.3296
Ba 0.0000 0.0000 0.0000
Ba 7.4048 3.7024 2.3296
N 6.0010 1.8512 1.1648
N 1.4038 5.5536 1.1648
N 5.5536 5.1062 3.4944
N 9.2559 9.7033 3.4944
! * volume: 31.933 Å³ per atom
! * density of states at the Fermi level: 0.29 states/eV/atom
! * size of the total moment: 0.750 μB per atom

ii.
! CsBaN2, relaxed, DFT GGA-PBE; values from VASP
&SYSTEM
  ibrav = 0, nat = 4, ntyp = 3
/
ATOMIC_SPECIES
Cs 132.91 Cs.upf
Ba 137.33 Ba.upf
N 14.01 N.upf
CELL_PARAMETERS angstrom
3.3986 -0.1108 6.9197
5.8437 -2.5143 4.3560
6.1853 1.7520 4.2566
ATOMIC_POSITIONS angstrom
Cs 0.0000 0.0000 0.0000
Ba 7.7138 -0.4366 7.7662
N 13.8462 -0.7837 13.9402
N 1.5814 -0.0895 1.5921
! * volume: 28.979 Å³ per atom
! * density of states at the Fermi level: 0.77 states/eV/atom
! * size of the total moment: 0.250 μB per atom

It is i that is the most stable of them.